*one*
Here is a relaxed structure of RbSb2TeH from Alexandria. Energies are from GGA-PBE.

Cell lengths 4.826, 4.826, 5.588 Å; angles 90.00, 90.00, 90.00 degrees
Positions (direct):
H  0.000  0.000  0.000
Rb  0.500  0.500  0.500
Sb  0.000  0.500  0.000
Te  0.000  0.000  0.500
Sb  0.500  0.000  0.000

Results
As for the crystal system: tetragonal. Its symmetry is No. 123.

---

*two*
Here is a relaxed structure of RbSb2TeH from Alexandria. Energies are from GGA-PBE.

Cell lengths 7.682, 7.682, 6.964 Å; angles 90.00, 90.00, 90.00 degrees
Positions (direct):
Rb  0.000  0.000  0.000
Sb  0.000  0.500  0.000
Te  0.000  0.000  0.500
Sb  0.500  0.000  0.000
H  0.500  0.500  0.500

Results
As for the crystal system: tetragonal. Its symmetry is No. 123.

---

Which one is the least stable? From the structures above, *two*.